# 1
{
  "formula": "Rb2GaBCl6",
  "functional": "GGA-PBE",
  "state": "optimized geometry",
  "lattice": [[-3.5458, 3.5458, 5.0295], [3.5458, -3.5458, 5.0295], [3.5458, 3.5458, -5.0295]],
  "species": ["Rb", "Rb", "Ga", "B", "Cl", "Cl", "Cl", "Cl", "Cl", "Cl"],
  "frac_coords": [[0.2500, 0.7500, 0.5000], [0.7500, 0.2500, 0.5000], [0.0000, 0.0000, 0.0000], [0.5000, 0.5000, 0.0000], [0.2412, 0.2412, 0.0000], [0.2422, 0.2422, 0.4844], [0.2422, 0.7578, 0.0000], [0.7578, 0.2422, 0.0000], [0.7578, 0.7578, 0.5156], [0.7588, 0.7588, 0.0000]],
  "energy_ev_per_atom": -3.20,
  "spacegroup": "I4/mmm, No. 139",
  "dos_at_fermi_per_ev_fu": 0.000
}

---

# 2
{
  "formula": "GaReB2Cl",
  "functional": "GGA-PBE",
  "state": "optimized geometry",
  "lattice": [[4.1068, 0.0000, 0.0000], [0.0000, 4.1068, 0.0000], [0.0000, 0.0000, 5.2720]],
  "species": ["Ga", "Re", "B", "B", "Cl"],
  "frac_coords": [[0.0000, 0.0000, 0.0000], [0.0000, 0.0000, 0.5000], [0.0000, 0.5000, 0.5000], [0.5000, 0.0000, 0.5000], [0.5000, 0.5000, 0.0000]],
  "energy_ev_per_atom": -5.31,
  "spacegroup": "P4/mmm, No. 123",
  "dos_at_fermi_per_ev_fu": 4.352
}

---

# 3
{
  "formula": "GaBS2Cl",
  "functional": "GGA-PBE",
  "state": "optimized geometry",
  "lattice": [[4.1679, 0.0000, 0.0000], [0.0000, 4.1679, 0.0000], [0.0000, 0.0000, 4.8044]],
  "species": ["Ga", "B", "S", "S", "Cl"],
  "frac_coords": [[0.0000, 0.0000, 0.0000], [0.5000, 0.5000, 0.5000], [0.0000, 0.5000, 0.5000], [0.5000, 0.0000, 0.5000], [0.5000, 0.5000, 0.0000]],
  "energy_ev_per_atom": -3.60,
  "spacegroup": "P4/mmm, No. 123",
  "dos_at_fermi_per_ev_fu": 2.606
}

---

# 4
{
  "formula": "GaBS2Cl",
  "functional": "GGA-PBE",
  "state": "optimized geometry",
  "lattice": [[4.6880, 0.0000, 0.0000], [0.0000, 4.6880, 0.0000], [0.0000, 0.0000, 4.8892]],
  "species": ["Ga", "B", "S", "S", "Cl"],
  "frac_coords": [[0.0000, 0.0000, 0.0000], [0.5000, 0.5000, 0.5000], [0.0000, 0.5000, 0.0000], [0.5000, 0.0000, 0.0000], [0.0000, 0.0000, 0.5000]],
  "energy_ev_per_atom": -3.04,
  "spacegroup": "P4/mmm, No. 123",
  "dos_at_fermi_per_ev_fu": 4.690
}

---

# 5
{
  "formula": "GaBSCl2",
  "functional": "GGA-PBE",
  "state": "optimized geometry",
  "lattice": [[5.2686, 0.0000, 0.0000], [0.0000, 5.2686, 0.0000], [0.0000, 0.0000, 3.5892]],
  "species": ["Ga", "B", "S", "Cl", "Cl"],
  "frac_coords": [[0.0000, 0.0000, 0.0000], [0.5000, 0.5000, 0.5000], [0.5000, 0.5000, 0.0000], [0.0000, 0.5000, 0.5000], [0.5000, 0.0000, 0.5000]],
  "energy_ev_per_atom": -3.34,
  "spacegroup": "P4/mmm, No. 123",
  "dos_at_fermi_per_ev_fu": 0.864
}

---

# 6
{
  "formula": "GaBSCl2",
  "functional": "GGA-PBE",
  "state": "optimized geometry",
  "lattice": [[4.8225, 0.0000, 0.0000], [0.0000, 4.8225, 0.0000], [0.0000, 0.0000, 4.7437]],
  "species": ["Ga", "B", "S", "Cl", "Cl"],
  "frac_coords": [[0.0000, 0.0000, 0.0000], [0.5000, 0.5000, 0.5000], [0.0000, 0.0000, 0.5000], [0.0000, 0.5000, 0.0000], [0.5000, 0.0000, 0.0000]],
  "energy_ev_per_atom": -2.90,
  "spacegroup": "P4/mmm, No. 123",
  "dos_at_fermi_per_ev_fu": 1.592
}

---

# 7
{
  "formula": "GaBSbCl2",
  "functional": "GGA-PBE",
  "state": "optimized geometry",
  "lattice": [[5.2587, 0.0000, 0.0000], [0.0000, 5.2587, 0.0000], [0.0000, 0.0000, 5.8194]],
  "species": ["Ga", "B", "Sb", "Cl", "Cl"],
  "frac_coords": [[0.0000, 0.0000, 0.0000], [0.5000, 0.5000, 0.0000], [0.0000, 0.0000, 0.5000], [0.0000, 0.5000, 0.5000], [0.5000, 0.0000, 0.5000]],
  "energy_ev_per_atom": -2.62,
  "spacegroup": "P4/mmm, No. 123",
  "dos_at_fermi_per_ev_fu": 2.941
}

---

# 8
{
  "formula": "Gd2BCl",
  "functional": "GGA-PBE",
  "state": "optimized geometry",
  "lattice": [[1.9440, 1.1224, 6.8713], [-1.9440, 1.1224, 6.8713], [0.0000, -2.2448, 6.8713]],
  "species": ["Gd", "Gd", "B", "Cl"],
  "frac_coords": [[0.2324, 0.2324, 0.2324], [0.7676, 0.7676, 0.7676], [0.5000, 0.5000, 0.5000], [0.0000, 0.0000, 0.0000]],
  "energy_ev_per_atom": -10.06,
  "spacegroup": "R-3m, No. 166",
  "dos_at_fermi_per_ev_fu": 3.651
}

---

Number 1: M_tot 0.000 μB/atom. Number 2: M_tot 0.000 μB/atom. Number 3: M_tot 0.000 μB/atom. Number 4: M_tot 0.050 μB/atom. Number 5: M_tot 0.000 μB/atom. Number 6: M_tot 0.000 μB/atom. Number 7: M_tot 0.236 μB/atom. Number 8: M_tot 3.531 μB/atom.